Arrangement A

A geometry-optimized SmICl2 structure, computed with PBE.

Density, kg/m3: 3565
M_tot, μB per formula unit: 0.0

Cell lengths 7.3291, 7.3291, 7.8275 Å; angles 109.31, 109.31, 109.62 degrees
Closest atoms and distances in Å follow each position.
Fractional coordinates of all 8 atoms:
Sm  0.1178  0.4318  0.4182  4 Cl 2.71-2.73
Cl  0.2433  0.2451  0.6508  2 Sm 2.72
Sm  0.4318  0.1178  0.9182  4 Cl 2.71-2.73
Cl  0.6969  0.0807  0.2261  2 Sm 2.71-2.73
Cl  0.0807  0.6969  0.7261  2 Sm 2.71-2.73
I  0.8676  0.5645  0.1187  2 Sm 3.11
I  0.5645  0.8676  0.6187  2 Sm 3.11
Cl  0.2451  0.2433  0.1508  2 Sm 2.72

---

Arrangement B

A geometry-optimized SmICl2 structure, computed with PBE.

Density, kg/m3: 3538
M_tot, μB per formula unit: 0.0

Cell lengths 4.1470, 6.1661, 7.2994 Å; angles 114.98, 103.60, 90.00 degrees
Closest atoms and distances in Å follow each position.
Fractional coordinates of all 4 atoms:
Cl  0.1152  0.6390  0.2781  2 Sm 2.73
Cl  0.8848  0.3610  0.7219  2 Sm 2.73
Sm  0.5000  0.5000  0.0000  4 Cl 2.73
I  0.5000  0.0000  0.0000  2 Sm 3.08

---

The least stable of them is arrangement B.

---

Arrangement A

A geometry-optimized SnI3Cl structure, computed with PBE.

Density, kg/m3: 3091
M_tot, μB per formula unit: 0.0

Cell lengths 7.5830, 6.9421, 10.9167 Å; angles 90.16, 90.13, 89.81 degrees
Closest atoms and distances in Å follow each position.
Fractional coordinates of all 10 atoms:
Cl  0.7211  0.4924  0.2990  1 Sn 2.36
Sn  0.2252  0.5206  0.7980  1 Cl 2.36
I  0.5595  0.9500  0.5063  1 Sn 2.69
I  0.5660  0.4077  0.8018  1 Sn 2.70
I  0.0543  0.4021  0.0002  1 Sn 2.69
Cl  0.2220  0.8604  0.7992  1 Sn 2.36
Sn  0.7229  0.8321  0.3004  1 Cl 2.36
I  0.0604  0.4026  0.5925  1 Sn 2.69
I  0.5492  0.9519  0.0988  1 Sn 2.70
I  0.0633  0.9441  0.2960  1 Sn 2.70

---

Arrangement B

A geometry-optimized SnI3Cl structure, computed with PBE.

Density, kg/m3: 4204
M_tot, μB per formula unit: 1.1

Cell lengths 5.9559, 5.9559, 5.9559 Å; angles 90.00, 90.00, 90.00 degrees
Closest atoms and distances in Å follow each position.
Fractional coordinates of all 5 atoms:
I  0.0000  0.5000  0.0000  2 Sn 2.98
Sn  0.0000  0.0000  0.0000  6 I 2.98
Cl  0.5000  0.5000  0.5000  12 I 4.21
I  0.5000  0.0000  0.0000  2 Sn 2.98
I  0.0000  0.0000  0.5000  2 Sn 2.98

---

The least stable of them is arrangement B.

---

Arrangement A

A geometry-optimized SnI2Cl structure, computed with PBE.

Density, kg/m3: 4211
M_tot, μB per formula unit: 0.0

Cell lengths 10.9702, 10.9702, 8.2049 Å; angles 48.05, 48.05, 90.00 degrees
Closest atoms and distances in Å follow each position.
Fractional coordinates of all 8 atoms:
I  0.7648  0.1250  0.2500  2 Sn 3.07
I  0.3750  0.2352  0.7500  2 Sn 3.07
Cl  0.5000  0.5000  0.0000  2 Sn 2.67
I  0.9852  0.6250  0.2500  2 Sn 3.07
Cl  0.2500  0.7500  0.5000  2 Sn 2.67
I  0.8750  0.0148  0.7500  2 Sn 3.07
Sn  0.7500  0.2500  0.5000  2 Cl 2.67
Sn  0.0000  0.0000  0.0000  2 Cl 2.67

---

Arrangement B

A geometry-optimized SnI2Cl structure, computed with PBE.

Density, kg/m3: 5643
M_tot, μB per formula unit: 0.0

Cell lengths 5.5374, 5.5374, 5.5374 Å; angles 60.00, 60.00, 60.00 degrees
Closest atoms and distances in Å follow each position.
Fractional coordinates of all 4 atoms:
I  0.2500  0.2500  0.2500  4 Cl 3.39, 4 Sn 3.39
Sn  0.5000  0.5000  0.5000  8 I 3.39
I  0.7500  0.7500  0.7500  4 Cl 3.39, 4 Sn 3.39
Cl  0.0000  0.0000  0.0000  8 I 3.39

---

The least stable of them is arrangement B.

---

Arrangement A

A geometry-optimized Sn2ICl2 structure, computed with PBE.

Density, kg/m3: 4674
M_tot, μB per formula unit: 0.0

Cell lengths 4.9335, 4.9335, 7.2478 Å; angles 70.10, 70.10, 90.00 degrees
Closest atoms and distances in Å follow each position.
Fractional coordinates of all 5 atoms:
I  0.0000  0.0000  0.0000  8 Sn 3.86, 8 Cl 4.02
Sn  0.6297  0.6297  0.7406  4 Cl 2.90
Sn  0.3703  0.3703  0.2594  4 Cl 2.90
Cl  0.2500  0.7500  0.5000  4 Sn 2.90
Cl  0.7500  0.2500  0.5000  4 Sn 2.90

---

Arrangement B

A geometry-optimized Sn2ICl2 structure, computed with PBE.

Density, kg/m3: 4862
M_tot, μB per formula unit: 0.0

Cell lengths 8.9705, 8.9705, 3.6944 Å; angles 90.00, 90.00, 90.00 degrees
Closest atoms and distances in Å follow each position.
Fractional coordinates of all 10 atoms:
Cl  0.3606  0.1394  0.5000  2 Sn 2.85
Sn  0.3104  0.8104  0.0000  2 Cl 2.85
Sn  0.8104  0.6896  0.0000  2 Cl 2.85
I  0.5000  0.5000  0.0000  4 Sn 3.26
Cl  0.6394  0.8606  0.5000  2 Sn 2.85
Cl  0.8606  0.3606  0.5000  2 Sn 2.85
Sn  0.1896  0.3104  0.0000  2 Cl 2.85
Cl  0.1394  0.6394  0.5000  2 Sn 2.85
Sn  0.6896  0.1896  0.0000  2 Cl 2.85
I  0.0000  0.0000  0.0000  4 Sn 3.26

---

The least stable of them is arrangement B.